# 1
A relaxed AgSbRu2 crystal, computed with GGA-PBE.

## Properties
formation energy without anion corrections: 309 meV/atom
space group: P4/mmm
DOS at the Fermi energy: 1.1475 states/eV per atom

Unit cell a=3.1857 b=3.1857 c=6.5303 alpha=90.00 beta=90.00 gamma=90.00
Atoms (fractional coordinates):
Ag 0.5000 0.5000 0.7500
Ru 0.0000 0.0000 0.0233
Ru 0.0000 0.0000 0.4767
Sb 0.5000 0.5000 0.2500

***

# 2
A relaxed Sm2Zn2In3 crystal, computed with GGA-PBE.

## Properties
space group: Cmcm
calculated formation energy: -370 meV/atom
DOS at the Fermi energy: 0.3963 states/eV per atom

Unit cell a=4.6291 b=7.3024 c=10.3170 alpha=90.00 beta=102.96 gamma=90.00
Atoms (fractional coordinates):
Sm 0.1610 0.2500 0.3219
Sm 0.8390 0.7500 0.6781
Sm 0.9555 0.2500 0.9109
Sm 0.0445 0.7500 0.0891
Zn 0.6903 0.9387 0.3807
Zn 0.3097 0.0613 0.6193
Zn 0.3097 0.4387 0.6193
Zn 0.6903 0.5613 0.3807
In 0.2193 0.7500 0.4387
In 0.7807 0.2500 0.5613
In 0.5659 0.4417 0.1318
In 0.4341 0.5583 0.8682
In 0.4341 0.9417 0.8682
In 0.5659 0.0583 0.1318

***

# 3
A relaxed Li2ZnSi crystal, computed with GGA-PBE.

## Properties
formation energy without anion corrections: -162 meV/atom
space group: C2/m
DOS at the Fermi energy: 0.1604 states/eV per atom

Unit cell a=4.7476 b=4.7476 c=4.7622 alpha=132.54 beta=132.54 gamma=68.89
Atoms (fractional coordinates):
Li 0.9995 0.0004 0.0000
Li 0.5005 0.4996 0.0000
Si 0.7500 0.2500 0.5000
Zn 0.2500 0.7500 0.5000

***

# 4
A relaxed BeCdCuAu crystal, computed with GGA-PBE.

## Properties
space group: F-43m
calculated formation energy: 64 meV/atom
DOS at the Fermi energy: 0.3916 states/eV per atom

Unit cell a=4.3712 b=4.3712 c=4.3712 alpha=60.00 beta=60.00 gamma=60.00
Atoms (fractional coordinates):
Be 0.0000 0.0000 0.0000
Au 0.2500 0.2500 0.2500
Cu 0.5000 0.5000 0.5000
Cd 0.7500 0.7500 0.7500